# Cu8SiGe2 | Alexandria | PBE | optimized geometry
# Symmetry: Immm, No. 71
# Energy relative to the elements, uncorrected, eV/f.u.: 0.12
# DOS at the Fermi energy, states/eV/cell: 2.6
data_Cu8SiGe2
_chemical_formula_sum 'Cu8 Si1 Ge2'
_cell_length_a 4.036
_cell_length_b 6.038
_cell_length_c 6.946
_cell_angle_alpha 115.76
_cell_angle_beta 106.89
_cell_angle_gamma 90.00
_symmetry_space_group_name_H-M 'P 1'
_symmetry_Int_Tables_number 1
loop_
_symmetry_equiv_pos_as_xyz
'x,y,z'
loop_
_atom_site_label
_atom_site_fract_x
_atom_site_fract_y
_atom_site_fract_z
Cu1 0.000 0.264 0.000
Cu2 0.357 0.132 0.715
Cu3 0.643 0.868 0.285
Cu4 0.170 0.170 0.341
Cu5 0.000 0.736 0.000
Cu6 0.830 0.830 0.659
Cu7 0.642 0.417 0.285
Cu8 0.358 0.583 0.715
Ge1 0.819 0.319 0.638
Ge2 0.181 0.681 0.362
Si1 0.500 0.000 0.000

---

# CuSi2Ge2 | Alexandria | PBE | optimized geometry
# Symmetry: I4/mmm, No. 139
# Energy relative to the elements, uncorrected, eV/f.u.: 1.99
# Distance to the lowest polymorph of the same formula, meV/atom: 0
# DOS at the Fermi energy, states/eV/cell: 1.8
data_CuSi2Ge2
_chemical_formula_sum 'Cu1 Si2 Ge2'
_cell_length_a 3.386
_cell_length_b 3.386
_cell_length_c 7.833
_cell_angle_alpha 77.52
_cell_angle_beta 77.52
_cell_angle_gamma 90.00
_symmetry_space_group_name_H-M 'P 1'
_symmetry_Int_Tables_number 1
loop_
_symmetry_equiv_pos_as_xyz
'x,y,z'
loop_
_atom_site_label
_atom_site_fract_x
_atom_site_fract_y
_atom_site_fract_z
Ge1 0.406 0.406 0.188
Ge2 0.594 0.594 0.812
Cu1 0.000 0.000 0.000
Si1 0.250 0.750 0.500
Si2 0.750 0.250 0.500

---

# Cu2SiGe2 | Alexandria | PBE | optimized geometry
# Symmetry: P4/mbm, No. 127
# Energy relative to the elements, uncorrected, eV/f.u.: 1.51
# Distance to the lowest polymorph of the same formula, meV/atom: 0
# DOS at the Fermi energy, states/eV/cell: 5.5
data_Cu2SiGe2
_chemical_formula_sum 'Cu4 Si2 Ge4'
_cell_length_a 7.582
_cell_length_b 7.582
_cell_length_c 2.724
_cell_angle_alpha 90.00
_cell_angle_beta 90.00
_cell_angle_gamma 90.00
_symmetry_space_group_name_H-M 'P 1'
_symmetry_Int_Tables_number 1
loop_
_symmetry_equiv_pos_as_xyz
'x,y,z'
loop_
_atom_site_label
_atom_site_fract_x
_atom_site_fract_y
_atom_site_fract_z
Cu1 0.883 0.383 0.500
Cu2 0.383 0.117 0.500
Cu3 0.617 0.883 0.500
Cu4 0.117 0.617 0.500
Si1 0.500 0.500 0.000
Si2 0.000 0.000 0.000
Ge1 0.179 0.321 0.000
Ge2 0.321 0.821 0.000
Ge3 0.679 0.179 0.000
Ge4 0.821 0.679 0.000

---

# Cu21Si6Ge2 | Alexandria | PBE | optimized geometry
# Symmetry: Fm-3m, No. 225
# Energy relative to the elements, uncorrected, eV/f.u.: 2.05
# DOS at the Fermi energy, states/eV/cell: 5.5
data_Cu21Si6Ge2
_chemical_formula_sum 'Cu21 Si6 Ge2'
_cell_length_a 8.203
_cell_length_b 8.203
_cell_length_c 8.203
_cell_angle_alpha 60.00
_cell_angle_beta 60.00
_cell_angle_gamma 60.00
_symmetry_space_group_name_H-M 'P 1'
_symmetry_Int_Tables_number 1
loop_
_symmetry_equiv_pos_as_xyz
'x,y,z'
loop_
_atom_site_label
_atom_site_fract_x
_atom_site_fract_y
_atom_site_fract_z
Cu1 0.000 0.000 0.658
Cu2 0.372 0.885 0.372
Cu3 0.000 0.342 0.000
Cu4 0.000 0.658 0.000
Cu5 0.342 0.658 0.000
Cu6 0.628 0.628 0.628
Cu7 0.658 0.000 0.342
Cu8 0.628 0.628 0.115
Cu9 0.658 0.342 0.000
Cu10 0.000 0.000 0.000
Cu11 0.885 0.372 0.372
Cu12 0.000 0.342 0.658
Cu13 0.342 0.000 0.658
Cu14 0.372 0.372 0.372
Cu15 0.000 0.000 0.342
Cu16 0.372 0.372 0.885
Cu17 0.000 0.658 0.342
Cu18 0.628 0.115 0.628
Cu19 0.658 0.000 0.000
Cu20 0.342 0.000 0.000
Cu21 0.115 0.628 0.628
Si1 0.723 0.277 0.723
Si2 0.277 0.723 0.723
Si3 0.723 0.277 0.277
Si4 0.277 0.723 0.277
Si5 0.723 0.723 0.277
Si6 0.277 0.277 0.723
Ge1 0.250 0.250 0.250
Ge2 0.750 0.750 0.750